Crystalline TaCd at its relaxed geometry, computed with GGA-PBE.

Lattice parameters (Å, degrees): 2.9444 2.9444 5.1680 90.00 90.00 120.00
Fractional positions:
1 Ta 0.0000 0.0000 0.0000
2 Cd 0.6667 0.3333 0.5000

Values from the calculation:
Energy = -6.0220 eV/atom
Formation energy = 362 meV per atom
Spin magnetization = 0.000 μB per formula unit